(1)
Here is crystalline Rb3Pr3NbS8 at its relaxed geometry from Alexandria. Energies are from GGA-PBE.

a b c (Å): 9.178 9.178 9.178
angles (deg): 53.06 53.06 53.06
Positions (direct):
Rb  0.000  0.500  0.500
Rb  0.500  0.000  0.500
Rb  0.500  0.500  0.000
Pr  0.000  0.000  0.500
Pr  0.000  0.500  0.000
Pr  0.500  0.000  0.000
Nb  0.500  0.500  0.500
S  0.234  0.234  0.234
S  0.261  0.711  0.711
S  0.289  0.289  0.739
S  0.289  0.739  0.289
S  0.711  0.261  0.711
S  0.711  0.711  0.261
S  0.739  0.289  0.289
S  0.766  0.766  0.766

Symmetry: No. 166
Calculated density: 3.7 g cm⁻³
Formation energy from raw total energies: -1.588 eV/atom

=====

(2)
Here is crystalline PBr4 at its relaxed geometry from Alexandria. Energies are from GGA-PBE.

a b c (Å): 6.971 6.971 14.178
angles (deg): 112.29 112.29 52.77
Positions (direct):
P  0.228  0.772  0.750
P  0.772  0.228  0.250
Br  0.058  0.940  0.598
Br  0.060  0.942  0.902
Br  0.291  0.396  0.693
Br  0.396  0.291  0.193
Br  0.604  0.709  0.807
Br  0.709  0.604  0.307
Br  0.940  0.058  0.098
Br  0.942  0.060  0.402

Symmetry: No. 15
Calculated density: 2.3 g cm⁻³
Formation energy from raw total energies: -0.276 eV/atom

=====

(3)
Here is crystalline Na2GaSn at its relaxed geometry from Alexandria. Energies are from GGA-PBE.

a b c (Å): 3.517 3.517 7.993
angles (deg): 90.00 90.00 90.00
Positions (direct):
Na  0.000  0.000  0.238
Na  0.000  0.000  0.762
Ga  0.500  0.500  0.000
Sn  0.500  0.500  0.500

Energy relative to the elements: -29 meV/atom
Symmetry: No. 123
Calculated density: 3.9 g cm⁻³

=====

(4)
Here is crystalline Y2V2Ni at its relaxed geometry from Alexandria. Energies are from GGA-PBE.

a b c (Å): 6.447 6.447 4.752
angles (deg): 90.00 90.00 90.00
Positions (direct):
Y  0.176  0.324  0.000
Y  0.324  0.824  0.000
Y  0.676  0.176  0.000
Y  0.824  0.676  0.000
V  0.131  0.631  0.500
V  0.369  0.131  0.500
V  0.631  0.869  0.500
V  0.869  0.369  0.500
Ni  0.000  0.000  0.500
Ni  0.500  0.500  0.500

Energy relative to the elements: 275 meV/atom
Symmetry: No. 127
Calculated density: 5.7 g cm⁻³

=====

(5)
Here is crystalline MnReSb2 at its relaxed geometry from Alexandria. Energies are from GGA-PBE.

a b c (Å): 4.426 5.241 5.241
angles (deg): 38.46 90.00 90.00
Positions (direct):
Mn  0.000  0.000  0.000
Re  0.500  0.146  0.146
Sb  0.000  0.720  0.720
Sb  0.500  0.429  0.429

Symmetry: No. 38
Calculated density: 10.6 g cm⁻³
Formation energy from raw total energies: 0.296 eV/atom

=====

(6)
Here is crystalline ZrAl2Mo at its relaxed geometry from Alexandria. Energies are from GGA-PBE.

a b c (Å): 4.586 4.586 4.586
angles (deg): 60.00 60.00 60.00
Positions (direct):
Zr  0.000  0.000  0.000
Al  0.250  0.250  0.250
Al  0.750  0.750  0.750
Mo  0.500  0.500  0.500

Energy relative to the elements: -127 meV/atom
Symmetry: No. 225
Calculated density: 5.9 g cm⁻³

=====

> calculated density of number 1 (Rb3Pr3NbS8)?

3.7 g cm⁻³